Computed, not measured: K2FeTcO6 after structural relaxation at the PBE+U level of DFT.

The structure in CIF format:
```
data_K2FeTcO6
_cell_length_a 6.0351
_cell_length_b 6.0351
_cell_length_c 5.1701
_cell_angle_alpha 90.00
_cell_angle_beta 90.00
_cell_angle_gamma 120.00
_space_group_name_H-M_alt 'P -3 m 1'
_space_group_IT_number 164
_space_group_name_Hall '-P 3 2"'
loop_
_atom_site_label
_atom_site_type_symbol
_atom_site_fract_x
_atom_site_fract_y
_atom_site_fract_z
K1 K 0.3333 0.6667 0.2820
Fe1 Fe 0.0000 0.0000 0.0000
Tc1 Tc 0.0000 0.0000 0.5000
O1 O 0.1436 0.2873 0.7293
```

Calculated values
Calculated total energy = -61.4 eV/cell
V = 16.31 Å³ per atom